8
Lattice="-0.2545 -3.0678 1.7611 4.0491 2.0339 4.1275 -2.9136 3.2572 8.8165" Properties=species:S:1:pos:R:3 comment="AlBiS2 GGA-PBE relaxed" de_polymorph_ev_per_atom=0.001 e_tot_ha_per_atom=-0.174 n_ef_per_ev_cell=0.90 e_form_raw_mev_per_atom=-753.5 pbc="T T T"
Bi 0.2810 0.5660 2.9710
Al 1.7870 2.8330 10.9837
Bi 2.1585 -0.1907 6.0530
S -2.6909 0.0793 9.1461
S -0.5365 2.6600 10.3122
Al -0.3648 0.2823 9.8004
S 0.0616 0.9724 7.5276
S 2.2160 3.5527 8.6938